Entry from Alexandria: crystalline Pr3SmPb2 at its relaxed geometry (PBE).

Properties
Formation enthalpy at 0 K in eV per atom: -0.44
M_tot in μB/atom: 0.000

Cell: 4.7135 4.7135 8.9768 Å, 90.00 90.00 90.00°
Sites, in units of the cell vectors:
Pr1 0.0000 0.0000 0.0000
Pr2 0.0000 0.5000 0.6519
Pr3 0.5000 0.0000 0.3481
Sm1 0.5000 0.5000 0.0000
Pb1 0.0000 0.5000 0.2815
Pb2 0.5000 0.0000 0.7185